Ti2AlRe: relaxed, PBE.

POSCAR file:
```
Ti2AlRe
1.0
3.1998 0.0000 0.0000
0.0000 3.1998 0.0000
0.0000 0.0000 6.1033
Ti Al Re
2 1 1
direct
0.0000 0.0000 0.2373
0.0000 0.0000 0.7627
0.5000 0.5000 0.5000
0.5000 0.5000 0.0000
```

The value obtained for the density is 8.2 g/cm³. For the formation energy, the calculation gives -485 meV/atom. The spin magnetization is 0.00 μB per cell.